{
  "formula": "ScAlSn3",
  "functional": "GGA-PBE",
  "state": "relaxed",
  "e_form_ev_per_atom": 0.40,
  "relative_energy_ev_per_atom": 0.0000,
  "lattice_angstrom": [[5.244, 0.000, 0.000], [0.000, 5.244, 0.000], [0.000, 0.000, 5.244]],
  "species": ["Sc", "Al", "Sn", "Sn", "Sn"],
  "frac_coords": [[0.000, 0.000, 0.000], [0.500, 0.500, 0.500], [0.000, 0.500, 0.500], [0.500, 0.000, 0.500], [0.500, 0.500, 0.000]]
}

***

{
  "formula": "Sc2AlSn2",
  "functional": "GGA-PBE",
  "state": "relaxed",
  "e_form_ev_per_atom": -0.32,
  "relative_energy_ev_per_atom": 0.0804,
  "lattice_angstrom": [[7.361, 0.000, 0.000], [0.000, 7.361, 0.000], [0.000, 0.000, 4.320]],
  "species": ["Sc", "Sc", "Sc", "Sc", "Al", "Al", "Sn", "Sn", "Sn", "Sn"],
  "frac_coords": [[0.160, 0.340, 0.000], [0.340, 0.840, 0.000], [0.660, 0.160, 0.000], [0.840, 0.660, 0.000], [0.000, 0.000, 0.000], [0.500, 0.500, 0.000], [0.148, 0.648, 0.500], [0.352, 0.148, 0.500], [0.648, 0.852, 0.500], [0.852, 0.352, 0.500]]
}